(1)
Here is a relaxed AcPr2Au6 crystal from Alexandria. Energies are from GGA-PBE.

a b c (Å): 3.9851 8.6271 8.6271
angles (deg): 53.66 76.65 76.65
Positions (direct):
Ac  0.5000  0.5000  0.5000
Pr  0.3589  0.1411  0.1411
Pr  0.6411  0.8589  0.8589
Au  0.1774  0.5123  0.1328
Au  0.8226  0.4877  0.8672
Au  0.8226  0.8672  0.4877
Au  0.0000  0.1815  0.8185
Au  0.0000  0.8185  0.1815
Au  0.1774  0.1328  0.5123

Values from the calculation:
**Relative energy among the computed polymorphs**: 44 meV/atom
**Calculated density**: 12.165 Mg/m³
**SG**: Immm, No. 71
**Energy**: -4.43 eV/atom

***

(2)
Here is a relaxed Be9Mo2W crystal from Alexandria. Energies are from GGA-PBE.

a b c (Å): 4.4098 4.4098 7.3439
angles (deg): 72.53 72.53 60.00
Positions (direct):
Be  0.6658  0.6658  0.0027
Be  0.3342  0.3342  0.9973
Be  0.5000  0.5000  0.5000
Be  0.4175  0.4175  0.2424
Be  0.9225  0.4175  0.2424
Be  0.4175  0.9225  0.2424
Be  0.5825  0.5825  0.7576
Be  0.5825  0.0775  0.7576
Be  0.0775  0.5825  0.7576
Mo  0.8555  0.8555  0.4334
Mo  0.1445  0.1445  0.5666
W  0.0000  0.0000  0.0000

Values from the calculation:
**Calculated density**: 6.539 Mg/m³
**SG**: R-3m, No. 166
**Energy**: -5.92 eV/atom

***

(3)
Here is a relaxed YPb crystal from Alexandria. Energies are from GGA-PBE.

a b c (Å): 4.7588 4.7588 6.5108
angles (deg): 90.00 90.00 120.00
Positions (direct):
Pb  0.0000  0.0000  0.0000
Pb  0.0000  0.0000  0.5000
Y  0.3333  0.6667  0.2500
Y  0.6667  0.3333  0.7500

Values from the calculation:
**Calculated density**: 7.702 Mg/m³
**SG**: P6_3/mmc, No. 194
**Energy**: -5.54 eV/atom

***

(4)
Here is a relaxed Pt3Au crystal from Alexandria. Energies are from GGA-PBE.

a b c (Å): 2.8229 4.0002 5.7550
angles (deg): 90.00 90.00 90.00
Positions (direct):
Au  0.0000  0.0000  0.0000
Pt  0.0000  0.0000  0.5000
Pt  0.5000  0.5000  0.2586
Pt  0.5000  0.5000  0.7414

Values from the calculation:
**Calculated density**: 19.987 Mg/m³
**SG**: Pmmm, No. 47
**Energy**: -5.30 eV/atom

***

| no. | energy of formation from the pure elements (eV per atom) | calculated volume (Å³/atom) |
| --- | --- | --- |
| 1 | -0.7268 | 25.64 |
| 2 | -0.2377 | 9.67 |
| 3 | -0.4576 | 31.92 |
| 4 | 0.0484 | 16.25 |